PuPaNb4 | PBE | relaxed

```
data_PuPaNb4
_chemical_formula_sum 'Pu4 Pa4 Nb16'
_symmetry_space_group_name_H-M 'F -4 3 m'
_symmetry_Int_Tables_number 216
_symmetry_space_group_name_Hall 'F -4 2 3'
_cell_length_a 7.972
_cell_length_b 7.972
_cell_length_c 7.972
_cell_angle_alpha 90.00
_cell_angle_beta 90.00
_cell_angle_gamma 90.00
loop_
_atom_site_label
_atom_site_type_symbol
_atom_site_fract_x
_atom_site_fract_y
_atom_site_fract_z
Pu1 Pu 0.000 0.000 0.000
Pa1 Pa 0.250 0.250 0.250
Nb1 Nb 0.125 0.125 0.625
```

Summary:
- calculated total energy (eV/atom) = -10.483
- N(E_F) (states/eV per cell) = 44.7
- energy of formation (meV/atom) = 201

---

CsNpCoSe4 | PBE | relaxed

```
data_CsNpCoSe4
_chemical_formula_sum 'Cs2 Np2 Co2 Se8'
_symmetry_space_group_name_H-M 'P 1 21/m 1'
_symmetry_Int_Tables_number 11
_symmetry_space_group_name_Hall '-P 2yb'
_cell_length_a 6.604
_cell_length_b 6.120
_cell_length_c 9.846
_cell_angle_alpha 90.00
_cell_angle_beta 105.80
_cell_angle_gamma 90.00
loop_
_atom_site_label
_atom_site_type_symbol
_atom_site_fract_x
_atom_site_fract_y
_atom_site_fract_z
Cs1 Cs 0.242 0.250 0.045
Np1 Np 0.252 0.250 0.545
Co1 Co 0.239 0.750 0.369
Se1 Se 0.018 0.508 0.692
Se2 Se 0.440 0.750 0.593
Se3 Se 0.441 0.750 0.210
```

Summary:
- calculated total energy (eV/atom) = -5.678
- N(E_F) (states/eV per cell) = 21.7

---

LiAc2Ta | PBE | relaxed

```
data_LiAc2Ta
_chemical_formula_sum 'Li3 Ac6 Ta3'
_symmetry_space_group_name_H-M 'R -3 m'
_symmetry_Int_Tables_number 166
_symmetry_space_group_name_Hall '-R 3 2"'
_cell_length_a 3.4339
_cell_length_b 3.4339
_cell_length_c 36.8472
_cell_angle_alpha 90.00
_cell_angle_beta 90.00
_cell_angle_gamma 120.00
loop_
_atom_site_label
_atom_site_type_symbol
_atom_site_fract_x
_atom_site_fract_y
_atom_site_fract_z
Li1 Li 0.0000 0.0000 0.0000
Ac1 Ac 0.0000 0.0000 0.4179
Ta1 Ta 0.0000 0.0000 0.5000
```

Summary:
- calculated total energy (eV/atom) = -4.597
- N(E_F) (states/eV per cell) = 15.8
- energy of formation (meV/atom) = 898

---

TiAgAs3 | PBE | relaxed

```
data_TiAgAs3
_chemical_formula_sum 'Ti1 Ag1 As3'
_symmetry_space_group_name_H-M 'P m -3 m'
_symmetry_Int_Tables_number 221
_symmetry_space_group_name_Hall '-P 4 2 3'
_cell_length_a 4.923
_cell_length_b 4.923
_cell_length_c 4.923
_cell_angle_alpha 90.00
_cell_angle_beta 90.00
_cell_angle_gamma 90.00
loop_
_atom_site_label
_atom_site_type_symbol
_atom_site_fract_x
_atom_site_fract_y
_atom_site_fract_z
Ti1 Ti 0.000 0.000 0.000
Ag1 Ag 0.500 0.500 0.500
As1 As 0.000 0.500 0.500
```

Summary:
- calculated total energy (eV/atom) = -3.999
- N(E_F) (states/eV per cell) = 7.0
- energy of formation (meV/atom) = 940

---

Ho5Er12Al2 | PBE | relaxed

```
data_Ho5Er12Al2
_chemical_formula_sum 'Ho10 Er24 Al4'
_symmetry_space_group_name_H-M 'C 1 2/m 1'
_symmetry_Int_Tables_number 12
_symmetry_space_group_name_Hall '-C 2y'
_cell_length_a 14.975
_cell_length_b 9.245
_cell_length_c 8.138
_cell_angle_alpha 90.00
_cell_angle_beta 92.15
_cell_angle_gamma 90.00
loop_
_atom_site_label
_atom_site_type_symbol
_atom_site_fract_x
_atom_site_fract_y
_atom_site_fract_z
Ho1 Ho 0.000 0.000 0.000
Ho2 Ho 0.189 0.500 0.512
Ho3 Ho 0.233 0.000 0.073
Er1 Er 0.053 0.500 0.820
Er2 Er 0.079 0.000 0.379
Er3 Er 0.126 0.304 0.170
Er4 Er 0.144 0.186 0.728
Al1 Al 0.000 0.327 0.500
```

Summary:
- calculated total energy (eV/atom) = -4.461
- N(E_F) (states/eV per cell) = 54.6
- energy of formation (meV/atom) = 19

---

LuPuMnRe | PBE | relaxed

```
data_LuPuMnRe
_chemical_formula_sum 'Lu4 Pu4 Mn4 Re4'
_symmetry_space_group_name_H-M 'F -4 3 m'
_symmetry_Int_Tables_number 216
_symmetry_space_group_name_Hall 'F -4 2 3'
_cell_length_a 6.753
_cell_length_b 6.753
_cell_length_c 6.753
_cell_angle_alpha 90.00
_cell_angle_beta 90.00
_cell_angle_gamma 90.00
loop_
_atom_site_label
_atom_site_type_symbol
_atom_site_fract_x
_atom_site_fract_y
_atom_site_fract_z
Lu1 Lu 0.000 0.000 0.000
Pu1 Pu 0.000 0.000 0.500
Mn1 Mn 0.250 0.250 0.750
Re1 Re 0.250 0.250 0.250
```

Summary:
- calculated total energy (eV/atom) = -10.010
- N(E_F) (states/eV per cell) = 24.7
- energy of formation (meV/atom) = 107

---

DyAgTeS | PBE | relaxed

```
data_DyAgTeS
_chemical_formula_sum 'Dy6 Ag6 Te6 S6'
_symmetry_space_group_name_H-M 'R -3 m'
_symmetry_Int_Tables_number 166
_symmetry_space_group_name_Hall '-R 3 2"'
_cell_length_a 4.5323
_cell_length_b 4.5323
_cell_length_c 34.9675
_cell_angle_alpha 90.00
_cell_angle_beta 90.00
_cell_angle_gamma 120.00
loop_
_atom_site_label
_atom_site_type_symbol
_atom_site_fract_x
_atom_site_fract_y
_atom_site_fract_z
Dy1 Dy 0.0000 0.0000 0.1169
Ag1 Ag 0.0000 0.0000 0.3105
Te1 Te 0.0000 0.0000 0.3928
S1 S 0.0000 0.0000 0.1962
```

Summary:
- calculated total energy (eV/atom) = -4.847
- N(E_F) (states/eV per cell) = 0.0

---

Pa2Co3NiB12 | PBE | relaxed

```
data_Pa2Co3NiB12
_chemical_formula_sum 'Pa6 Co9 Ni3 B36'
_symmetry_space_group_name_H-M 'R -3 m'
_symmetry_Int_Tables_number 166
_symmetry_space_group_name_Hall '-R 3 2"'
_cell_length_a 5.4033
_cell_length_b 5.4033
_cell_length_c 21.7694
_cell_angle_alpha 90.00
_cell_angle_beta 90.00
_cell_angle_gamma 120.00
loop_
_atom_site_label
_atom_site_type_symbol
_atom_site_fract_x
_atom_site_fract_y
_atom_site_fract_z
Pa1 Pa 0.0000 0.0000 0.1393
Co1 Co 0.0000 0.5000 0.0000
Ni1 Ni 0.0000 0.0000 0.5000
B1 B 0.0806 0.5403 0.0940
B2 B 0.1068 0.2136 0.7399
```

Summary:
- calculated total energy (eV/atom) = -7.039
- N(E_F) (states/eV per cell) = 38.5
- energy of formation (meV/atom) = -27